# 1
Crystalline Cs3CaAc2Te6 at its relaxed geometry. Source: the Alexandria database, functional PBE-GGA.

```
data_Cs3CaAc2Te6
_chemical_formula_sum 'Cs3 Ca1 Ac2 Te6'
_cell_length_a 8.383
_cell_length_b 8.383
_cell_length_c 9.421
_cell_angle_alpha 98.54
_cell_angle_beta 98.54
_cell_angle_gamma 120.03
_symmetry_space_group_name_H-M 'P 1'
_symmetry_Int_Tables_number 1
loop_
_symmetry_equiv_pos_as_xyz
'x,y,z'
loop_
_atom_site_label
_atom_site_type_symbol
_atom_site_fract_x
_atom_site_fract_y
_atom_site_fract_z
_atom_site_occupancy
Cs1 Cs 0.168 0.832 0.500 1
Cs2 Cs 0.832 0.168 0.500 1
Cs3 Cs 0.500 0.500 0.500 1
Ca1 Ca 0.000 0.000 0.000 1
Ac1 Ac 0.334 0.666 0.000 1
Ac2 Ac 0.666 0.334 0.000 1
Te1 Te 0.934 0.607 0.801 1
Te2 Te 0.740 0.740 0.200 1
Te3 Te 0.066 0.393 0.199 1
Te4 Te 0.607 0.934 0.801 1
Te5 Te 0.260 0.260 0.800 1
Te6 Te 0.393 0.066 0.199 1
```

ΔE_f (raw) in eV per atom: -1.35
Total magnetic moment in μB/cell: 0.00

---

# 2
Crystalline Dy2Al8Au at its relaxed geometry. Source: the Alexandria database, functional PBE-GGA.

```
data_Dy2Al8Au
_chemical_formula_sum 'Dy2 Al8 Au1'
_cell_length_a 4.321
_cell_length_b 4.321
_cell_length_c 11.310
_cell_angle_alpha 90.00
_cell_angle_beta 90.00
_cell_angle_gamma 90.00
_symmetry_space_group_name_H-M 'P 1'
_symmetry_Int_Tables_number 1
loop_
_symmetry_equiv_pos_as_xyz
'x,y,z'
loop_
_atom_site_label
_atom_site_type_symbol
_atom_site_fract_x
_atom_site_fract_y
_atom_site_fract_z
_atom_site_occupancy
Dy1 Dy 0.000 0.000 0.316 1
Dy2 Dy 0.000 0.000 0.684 1
Al1 Al 0.000 0.500 0.500 1
Al2 Al 0.500 0.000 0.500 1
Al3 Al 0.500 0.500 0.306 1
Al4 Al 0.500 0.500 0.694 1
Al5 Al 0.000 0.500 0.132 1
Al6 Al 0.500 0.000 0.132 1
Al7 Al 0.000 0.500 0.868 1
Al8 Al 0.500 0.000 0.868 1
Au1 Au 0.000 0.000 0.000 1
```

Total magnetic moment in μB/cell: 0.00
Final energy in eV/atom: -4.23

---

# 3
Crystalline SmZn4Pt6 at its relaxed geometry. Source: the Alexandria database, functional PBE-GGA.

```
data_SmZn4Pt6
_chemical_formula_sum 'Sm1 Zn4 Pt6'
_cell_length_a 6.645
_cell_length_b 6.645
_cell_length_c 6.645
_cell_angle_alpha 84.84
_cell_angle_beta 123.02
_cell_angle_gamma 123.02
_symmetry_space_group_name_H-M 'P 1'
_symmetry_Int_Tables_number 1
loop_
_symmetry_equiv_pos_as_xyz
'x,y,z'
loop_
_atom_site_label
_atom_site_type_symbol
_atom_site_fract_x
_atom_site_fract_y
_atom_site_fract_z
_atom_site_occupancy
Sm1 Sm 0.000 0.000 0.000 1
Zn1 Zn 0.000 0.242 0.562 1
Zn2 Zn 0.681 0.438 0.438 1
Zn3 Zn 0.000 0.562 0.242 1
Zn4 Zn 0.319 0.758 0.758 1
Pt1 Pt 0.000 0.896 0.454 1
Pt2 Pt 0.000 0.454 0.896 1
Pt3 Pt 0.558 0.104 0.104 1
Pt4 Pt 0.500 0.000 0.500 1
Pt5 Pt 0.442 0.546 0.546 1
Pt6 Pt 0.500 0.500 0.000 1
```

Total magnetic moment in μB/cell: 0.00
Final energy in eV/atom: -4.56

---

# 4
Crystalline Pm4PbI5 at its relaxed geometry. Source: the Alexandria database, functional PBE-GGA.

```
data_Pm4PbI5
_chemical_formula_sum 'Pm4 Pb1 I5'
_cell_length_a 4.391
_cell_length_b 9.233
_cell_length_c 9.960
_cell_angle_alpha 101.13
_cell_angle_beta 102.73
_cell_angle_gamma 90.00
_symmetry_space_group_name_H-M 'P 1'
_symmetry_Int_Tables_number 1
loop_
_symmetry_equiv_pos_as_xyz
'x,y,z'
loop_
_atom_site_label
_atom_site_type_symbol
_atom_site_fract_x
_atom_site_fract_y
_atom_site_fract_z
_atom_site_occupancy
Pm1 Pm 0.660 0.068 0.320 1
Pm2 Pm 0.002 0.231 0.003 1
Pm3 Pm 0.340 0.932 0.680 1
Pm4 Pm 0.998 0.769 0.997 1
Pb1 Pb 0.500 0.000 0.000 1
I1 I 0.168 0.324 0.337 1
I2 I 0.169 0.816 0.339 1
I3 I 0.831 0.184 0.661 1
I4 I 0.500 0.500 0.000 1
I5 I 0.832 0.676 0.663 1
```

ΔE_f (raw) in eV per atom: -1.09
Total magnetic moment in μB/cell: 0.00

---

# 5
Crystalline Ho2CdPt at its relaxed geometry. Source: the Alexandria database, functional PBE-GGA.

```
data_Ho2CdPt
_chemical_formula_sum 'Ho2 Cd1 Pt1'
_cell_length_a 3.580
_cell_length_b 3.580
_cell_length_c 7.292
_cell_angle_alpha 90.00
_cell_angle_beta 90.00
_cell_angle_gamma 90.00
_symmetry_space_group_name_H-M 'P 1'
_symmetry_Int_Tables_number 1
loop_
_symmetry_equiv_pos_as_xyz
'x,y,z'
loop_
_atom_site_label
_atom_site_type_symbol
_atom_site_fract_x
_atom_site_fract_y
_atom_site_fract_z
_atom_site_occupancy
Ho1 Ho 0.000 0.000 0.776 1
Ho2 Ho 0.000 0.000 0.224 1
Pt1 Pt 0.500 0.500 0.000 1
Cd1 Cd 0.500 0.500 0.500 1
```

Total magnetic moment in μB/cell: 0.00
Final energy in eV/atom: -4.83

---

# 6
Crystalline LiErH at its relaxed geometry. Source: the Alexandria database, functional PBE-GGA.

```
data_LiErH
_chemical_formula_sum 'Li2 Er2 H2'
_cell_length_a 3.676
_cell_length_b 3.667
_cell_length_c 9.360
_cell_angle_alpha 101.17
_cell_angle_beta 90.00
_cell_angle_gamma 120.08
_symmetry_space_group_name_H-M 'P 1'
_symmetry_Int_Tables_number 1
loop_
_symmetry_equiv_pos_as_xyz
'x,y,z'
loop_
_atom_site_label
_atom_site_type_symbol
_atom_site_fract_x
_atom_site_fract_y
_atom_site_fract_z
_atom_site_occupancy
H1 H 0.198 0.396 0.095 1
H2 H 0.802 0.604 0.905 1
Li1 Li 0.304 0.609 0.413 1
Li2 Li 0.696 0.391 0.587 1
Er1 Er 0.119 0.238 0.854 1
Er2 Er 0.881 0.762 0.146 1
```

Total magnetic moment in μB/cell: 0.00
Final energy in eV/atom: -3.52

---

# 7
Crystalline Y2GaBr at its relaxed geometry. Source: the Alexandria database, functional PBE-GGA.

```
data_Y2GaBr
_chemical_formula_sum 'Y4 Ga2 Br2'
_cell_length_a 6.140
_cell_length_b 6.140
_cell_length_c 8.475
_cell_angle_alpha 68.76
_cell_angle_beta 68.76
_cell_angle_gamma 90.00
_symmetry_space_group_name_H-M 'P 1'
_symmetry_Int_Tables_number 1
loop_
_symmetry_equiv_pos_as_xyz
'x,y,z'
loop_
_atom_site_label
_atom_site_type_symbol
_atom_site_fract_x
_atom_site_fract_y
_atom_site_fract_z
_atom_site_occupancy
Y1 Y 0.601 0.125 0.250 1
Y2 Y 0.149 0.625 0.250 1
Y3 Y 0.375 0.399 0.750 1
Y4 Y 0.875 0.851 0.750 1
Ga1 Ga 0.500 0.500 0.000 1
Ga2 Ga 0.250 0.750 0.500 1
Br1 Br 0.000 0.000 0.000 1
Br2 Br 0.750 0.250 0.500 1
```

ΔE_f (raw) in eV per atom: -0.37
Total magnetic moment in μB/cell: 0.00

---

# 8
Crystalline CaMoPb2 at its relaxed geometry. Source: the Alexandria database, functional PBE-GGA.

```
data_CaMoPb2
_chemical_formula_sum 'Ca1 Mo1 Pb2'
_cell_length_a 3.254
_cell_length_b 5.016
_cell_length_c 6.117
_cell_angle_alpha 90.00
_cell_angle_beta 90.00
_cell_angle_gamma 90.00
_symmetry_space_group_name_H-M 'P 1'
_symmetry_Int_Tables_number 1
loop_
_symmetry_equiv_pos_as_xyz
'x,y,z'
loop_
_atom_site_label
_atom_site_type_symbol
_atom_site_fract_x
_atom_site_fract_y
_atom_site_fract_z
_atom_site_occupancy
Pb1 Pb 0.000 0.000 0.971 1
Pb2 Pb 0.500 0.500 0.273 1
Mo1 Mo 0.500 0.500 0.764 1
Ca1 Ca 0.000 0.000 0.492 1
```

Total magnetic moment in μB/cell: 0.00
Final energy in eV/atom: -4.53

---

# 9
Crystalline LaNpSi4 at its relaxed geometry. Source: the Alexandria database, functional PBE-GGA.

```
data_LaNpSi4
_chemical_formula_sum 'La4 Np4 Si16'
_cell_length_a 4.184
_cell_length_b 7.479
_cell_length_c 15.978
_cell_angle_alpha 90.00
_cell_angle_beta 90.00
_cell_angle_gamma 90.00
_symmetry_space_group_name_H-M 'P 1'
_symmetry_Int_Tables_number 1
loop_
_symmetry_equiv_pos_as_xyz
'x,y,z'
loop_
_atom_site_label
_atom_site_type_symbol
_atom_site_fract_x
_atom_site_fract_y
_atom_site_fract_z
_atom_site_occupancy
La1 La 0.000 0.620 0.333 1
La2 La 0.000 0.380 0.667 1
La3 La 0.000 0.120 0.167 1
La4 La 0.000 0.880 0.833 1
Np1 Np 0.000 0.622 0.083 1
Np2 Np 0.000 0.378 0.917 1
Np3 Np 0.000 0.122 0.417 1
Np4 Np 0.000 0.878 0.583 1
Si1 Si 0.500 0.777 0.194 1
Si2 Si 0.500 0.223 0.806 1
Si3 Si 0.500 0.277 0.306 1
Si4 Si 0.500 0.723 0.694 1
Si5 Si 0.500 0.890 0.054 1
Si6 Si 0.500 0.110 0.946 1
Si7 Si 0.500 0.390 0.446 1
Si8 Si 0.500 0.610 0.554 1
Si9 Si 0.500 0.858 0.455 1
Si10 Si 0.500 0.142 0.545 1
Si11 Si 0.500 0.358 0.045 1
Si12 Si 0.500 0.642 0.955 1
Si13 Si 0.500 0.959 0.311 1
Si14 Si 0.500 0.041 0.689 1
Si15 Si 0.500 0.459 0.189 1
Si16 Si 0.500 0.541 0.811 1
```

ΔE_f (raw) in eV per atom: -0.33
Total magnetic moment in μB/cell: 16.00

---

# 10
Crystalline RbInI2 at its relaxed geometry. Source: the Alexandria database, functional PBE-GGA.

```
data_RbInI2
_chemical_formula_sum 'Rb1 In1 I2'
_cell_length_a 5.026
_cell_length_b 5.026
_cell_length_c 9.235
_cell_angle_alpha 74.21
_cell_angle_beta 74.21
_cell_angle_gamma 60.00
_symmetry_space_group_name_H-M 'P 1'
_symmetry_Int_Tables_number 1
loop_
_symmetry_equiv_pos_as_xyz
'x,y,z'
loop_
_atom_site_label
_atom_site_type_symbol
_atom_site_fract_x
_atom_site_fract_y
_atom_site_fract_z
_atom_site_occupancy
Rb1 Rb 0.499 0.499 0.502 1
In1 In 0.667 0.667 0.998 1
I1 I 0.078 0.078 0.765 1
I2 I 0.255 0.255 0.235 1
```

ΔE_f (raw) in eV per atom: -0.95
Total magnetic moment in μB/cell: 0.00